# NiPdW2N PBE relaxed
# Crystal system: tetragonal
# Energy relative to the elements, uncorrected in eV/f.u.: 0.0
# Mass density in g cm⁻³: 13.89
data_NiPdW2N
_cell_length_a 4.0637
_cell_length_b 4.0637
_cell_length_c 3.9585
_cell_angle_alpha 90.00
_cell_angle_beta 90.00
_cell_angle_gamma 90.00
_symmetry_space_group_name_H-M 'P 1'
_symmetry_Int_Tables_number 1
loop_
_symmetry_equiv_pos_as_xyz
'x,y,z'
loop_
_atom_site_label
_atom_site_fract_x
_atom_site_fract_y
_atom_site_fract_z
_atom_site_occupancy
Ni1 0.0000 0.0000 0.0000 1
Pd1 0.5000 0.5000 0.0000 1
W1 0.0000 0.5000 0.5000 1
W2 0.5000 0.0000 0.5000 1
N1 0.0000 0.0000 0.5000 1